Here is a relaxed structure of GeSCl2O from the Alexandria database. Energies are from PBE-GGA.

```
5
Lattice="4.863 0.000 0.000 0.000 4.863 0.000 0.000 0.000 4.886" Properties=species:S:1:pos:R:3 pbc="T T T"
Ge 0.000 0.000 0.000
S 0.000 0.000 2.443
Cl 0.000 2.432 0.000
Cl 2.432 0.000 0.000
O 2.432 2.432 2.443
```

D(E_F) ... 3.76 states/eV/cell
E_form (uncorrected) ... 0.50 eV per atom
Final energy ... -14.89 eV for the cell shown